This record from the Alexandria database describes a relaxed structure of TeMo2Br. The functional is PBE.

Geometry as CIF:
```
data_TeMo2Br
_space_group_name_H-M_alt 'I -4 2 d'
_space_group_IT_number 122
_space_group_name_Hall 'I -4 2bw'
_cell_length_a 6.146
_cell_length_b 6.146
_cell_length_c 10.616
_cell_angle_alpha 90.00
_cell_angle_beta 90.00
_cell_angle_gamma 90.00
loop_
_atom_site_label
_atom_site_fract_x
_atom_site_fract_y
_atom_site_fract_z
_atom_site_occupancy
Te1 0.000 0.000 0.000 1
Mo1 0.226 0.250 0.625 1
Br1 0.000 0.000 0.500 1
```

VASP energy = -5.54 eV per atom
M_tot = 0.00 Bohr magnetons per cell
E above lowest polymorph = 0.908 eV/atom
Crystal system = tetragonal

This record from the Alexandria database describes a relaxed structure of YReTc. The functional is PBE.

Geometry as CIF:
```
data_YReTc
_space_group_name_H-M_alt 'I m m a'
_space_group_IT_number 74
_space_group_name_Hall '-I 2b 2'
_cell_length_a 5.328
_cell_length_b 5.563
_cell_length_c 7.587
_cell_angle_alpha 90.00
_cell_angle_beta 90.00
_cell_angle_gamma 90.00
loop_
_atom_site_label
_atom_site_fract_x
_atom_site_fract_y
_atom_site_fract_z
_atom_site_occupancy
Y1 0.000 0.250 0.125 1
Re1 0.250 0.250 0.750 1
Tc1 0.000 0.000 0.500 1
```

VASP energy = -9.93 eV per atom
M_tot = 0.00 Bohr magnetons per cell
E above lowest polymorph = 0.000 eV/atom
DFT formation energy = -168 meV per atom
Crystal system = orthorhombic

This record from the Alexandria database describes a relaxed structure of TbHfZr. The functional is PBE.

Geometry as CIF:
```
data_TbHfZr
_space_group_name_H-M_alt 'P 3 m 1'
_space_group_IT_number 156
_cell_length_a 3.2755
_cell_length_b 3.2755
_cell_length_c 8.1361
_cell_angle_alpha 90.00
_cell_angle_beta 90.00
_cell_angle_gamma 120.00
loop_
_space_group_symop_operation_xyz
'x,y,z'
'-y,x-y,z'
'-x+y,-x,z'
'-y,-x,z'
'-x+y,y,z'
'x,x-y,z'
loop_
_atom_site_label
_atom_site_fract_x
_atom_site_fract_y
_atom_site_fract_z
_atom_site_occupancy
Tb1 0.0000 0.0000 0.0000 1
Hf1 0.6667 0.3333 0.3437 1
Zr1 0.3333 0.6667 0.6477 1
```

VASP energy = -7.57 eV per atom
M_tot = 0.00 Bohr magnetons per cell
E above lowest polymorph = 0.031 eV/atom
DFT formation energy = 140 meV per atom
Crystal system = trigonal

This record from the Alexandria database describes a relaxed structure of KLaCl2. The functional is PBE.

Geometry as CIF:
```
data_KLaCl2
_space_group_name_H-M_alt 'R -3 m'
_space_group_IT_number 166
_space_group_name_Hall '-R 3 2"'
_cell_length_a 4.2587
_cell_length_b 4.2587
_cell_length_c 27.8112
_cell_angle_alpha 90.00
_cell_angle_beta 90.00
_cell_angle_gamma 120.00
loop_
_atom_site_label
_atom_site_fract_x
_atom_site_fract_y
_atom_site_fract_z
_atom_site_occupancy
K1 0.0000 0.0000 0.0000 1
La1 0.0000 0.0000 0.5000 1
Cl1 0.0000 0.0000 0.4005 1
```

VASP energy = -4.02 eV per atom
M_tot = 0.00 Bohr magnetons per cell
E above lowest polymorph = 0.082 eV/atom
Crystal system = trigonal

This record from the Alexandria database describes a relaxed structure of Cs3LiPb2Cl9. The functional is PBE.

Geometry as CIF:
```
data_Cs3LiPb2Cl9
_space_group_name_H-M_alt 'P -3 m 1'
_space_group_IT_number 164
_space_group_name_Hall '-P 3 2"'
_cell_length_a 7.7281
_cell_length_b 7.7281
_cell_length_c 9.5226
_cell_angle_alpha 90.00
_cell_angle_beta 90.00
_cell_angle_gamma 120.00
loop_
_atom_site_label
_atom_site_fract_x
_atom_site_fract_y
_atom_site_fract_z
_atom_site_occupancy
Cs1 0.0000 0.0000 0.0000 1
Cs2 0.3333 0.6667 0.6575 1
Li1 0.0000 0.0000 0.5000 1
Pb1 0.3333 0.6667 0.1837 1
Cl1 0.0000 0.5000 0.0000 1
Cl2 0.1627 0.3253 0.3423 1
```

VASP energy = -3.42 eV per atom
M_tot = 0.00 Bohr magnetons per cell
Crystal system = trigonal

This record from the Alexandria database describes a relaxed structure of NbTlCd2. The functional is PBE.

Geometry as CIF:
```
data_NbTlCd2
_space_group_name_H-M_alt 'R -3 m'
_space_group_IT_number 166
_space_group_name_Hall '-R 3 2"'
_cell_length_a 3.0168
_cell_length_b 3.0168
_cell_length_c 36.9381
_cell_angle_alpha 90.00
_cell_angle_beta 90.00
_cell_angle_gamma 120.00
loop_
_atom_site_label
_atom_site_fract_x
_atom_site_fract_y
_atom_site_fract_z
_atom_site_occupancy
Nb1 0.0000 0.0000 0.0000 1
Tl1 0.0000 0.0000 0.5000 1
Cd1 0.0000 0.0000 0.0815 1
```

VASP energy = -3.02 eV per atom
M_tot = 1.36 Bohr magnetons per cell
E above lowest polymorph = 0.000 eV/atom
DFT formation energy = 542 meV per atom
Crystal system = trigonal

This record from the Alexandria database describes a relaxed structure of LaTaRe2. The functional is PBE.

Geometry as CIF:
```
data_LaTaRe2
_space_group_name_H-M_alt 'P m m m'
_space_group_IT_number 47
_cell_length_a 3.219
_cell_length_b 4.737
_cell_length_c 4.879
_cell_angle_alpha 90.00
_cell_angle_beta 90.00
_cell_angle_gamma 90.00
loop_
_space_group_symop_operation_xyz
'x,y,z'
'-x,-y,-z'
'-x,-y,z'
'x,y,-z'
'x,-y,-z'
'-x,y,z'
'-x,y,-z'
'x,-y,z'
loop_
_atom_site_label
_atom_site_fract_x
_atom_site_fract_y
_atom_site_fract_z
_atom_site_occupancy
La1 0.000 0.000 0.000 1
Ta1 0.500 0.000 0.500 1
Re1 0.000 0.500 0.500 1
Re2 0.500 0.500 0.000 1
```

VASP energy = -9.79 eV per atom
M_tot = 0.00 Bohr magnetons per cell
E above lowest polymorph = 0.410 eV/atom
DFT formation energy = 633 meV per atom
Crystal system = orthorhombic

This record from the Alexandria database describes a relaxed structure of AcCeS2N. The functional is PBE.

Geometry as CIF:
```
data_AcCeS2N
_space_group_name_H-M_alt 'P 4/n m m'
_space_group_IT_number 129
_cell_length_a 4.083
_cell_length_b 4.083
_cell_length_c 14.804
_cell_angle_alpha 90.00
_cell_angle_beta 90.00
_cell_angle_gamma 90.00
loop_
_space_group_symop_operation_xyz
'x,y,z'
'-x,-y,-z'
'-y+1/2,x,z'
'y+1/2,-x,-z'
'-x+1/2,-y+1/2,z'
'x+1/2,y+1/2,-z'
'y,-x+1/2,z'
'-y,x+1/2,-z'
'x+1/2,-y,-z'
'-x+1/2,y,z'
'-y,-x,-z'
'y,x,z'
'-x,y+1/2,-z'
'x,-y+1/2,z'
'y+1/2,x+1/2,-z'
'-y+1/2,-x+1/2,z'
loop_
_atom_site_label
_atom_site_fract_x
_atom_site_fract_y
_atom_site_fract_z
_atom_site_occupancy
Ac1 0.250 0.250 0.135 1
Ce1 0.250 0.250 0.574 1
S1 0.250 0.250 0.320 1
S2 0.250 0.250 0.913 1
N1 0.250 0.750 0.500 1
```

VASP energy = -7.10 eV per atom
M_tot = 0.00 Bohr magnetons per cell
Crystal system = tetragonal

This record from the Alexandria database describes a relaxed structure of ScTlP2O. The functional is PBE.

Geometry as CIF:
```
data_ScTlP2O
_space_group_name_H-M_alt 'P 4/m m m'
_space_group_IT_number 123
_space_group_name_Hall '-P 4 2'
_cell_length_a 5.076
_cell_length_b 5.076
_cell_length_c 4.128
_cell_angle_alpha 90.00
_cell_angle_beta 90.00
_cell_angle_gamma 90.00
loop_
_atom_site_label
_atom_site_fract_x
_atom_site_fract_y
_atom_site_fract_z
_atom_site_occupancy
Sc1 0.000 0.000 0.000 1
Tl1 0.500 0.500 0.500 1
P1 0.000 0.500 0.500 1
O1 0.500 0.500 0.000 1
```

VASP energy = -4.45 eV per atom
M_tot = 0.00 Bohr magnetons per cell
E above lowest polymorph = 0.831 eV/atom
Crystal system = tetragonal

This record from the Alexandria database describes a relaxed structure of NdErGa. The functional is PBE.

Geometry as CIF:
```
data_NdErGa
_space_group_name_H-M_alt 'P -6 2 m'
_space_group_IT_number 189
_space_group_name_Hall 'P -6 -2'
_cell_length_a 7.9707
_cell_length_b 7.9707
_cell_length_c 4.4658
_cell_angle_alpha 90.00
_cell_angle_beta 90.00
_cell_angle_gamma 120.00
loop_
_atom_site_label
_atom_site_fract_x
_atom_site_fract_y
_atom_site_fract_z
_atom_site_occupancy
Nd1 0.0000 0.6015 0.0000 1
Er1 0.0000 0.2655 0.5000 1
Ga1 0.0000 0.0000 0.0000 1
Ga2 0.3333 0.6667 0.5000 1
```

VASP energy = -4.52 eV per atom
M_tot = 1.24 Bohr magnetons per cell
E above lowest polymorph = 0.000 eV/atom
DFT formation energy = -406 meV per atom
Crystal system = hexagonal

This record from the Alexandria database describes a relaxed structure of KBeTe4. The functional is PBE.

Geometry as CIF:
```
data_KBeTe4
_space_group_name_H-M_alt 'F -4 3 m'
_space_group_IT_number 216
_space_group_name_Hall 'F -4 2 3'
_cell_length_a 9.196
_cell_length_b 9.196
_cell_length_c 9.196
_cell_angle_alpha 90.00
_cell_angle_beta 90.00
_cell_angle_gamma 90.00
loop_
_atom_site_label
_atom_site_fract_x
_atom_site_fract_y
_atom_site_fract_z
_atom_site_occupancy
K1 0.000 0.000 0.000 1
Be1 0.250 0.250 0.250 1
Te1 0.123 0.123 0.623 1
```

VASP energy = -2.55 eV per atom
M_tot = 0.00 Bohr magnetons per cell
Crystal system = cubic

This record from the Alexandria database describes a relaxed structure of SrMg2Mo. The functional is PBE.

Geometry as CIF:
```
data_SrMg2Mo
_space_group_name_H-M_alt 'P 1 m 1'
_space_group_IT_number 6
_cell_length_a 3.042
_cell_length_b 4.941
_cell_length_c 6.385
_cell_angle_alpha 90.00
_cell_angle_beta 98.35
_cell_angle_gamma 90.00
loop_
_space_group_symop_operation_xyz
'x,y,z'
'x,-y,z'
loop_
_atom_site_label
_atom_site_fract_x
_atom_site_fract_y
_atom_site_fract_z
_atom_site_occupancy
Sr1 0.000 0.000 0.000 1
Mg1 0.600 0.000 0.537 1
Mg2 0.617 0.500 0.289 1
Mo1 0.232 0.500 0.677 1
```

VASP energy = -3.31 eV per atom
M_tot = 0.00 Bohr magnetons per cell
E above lowest polymorph = 0.131 eV/atom
DFT formation energy = 620 meV per atom
Crystal system = monoclinic

This record from the Alexandria database describes a relaxed structure of Cr2W. The functional is PBE.

Geometry as CIF:
```
data_Cr2W
_space_group_name_H-M_alt 'F m m m'
_space_group_IT_number 69
_space_group_name_Hall '-F 2 2'
_cell_length_a 3.003
_cell_length_b 4.290
_cell_length_c 12.426
_cell_angle_alpha 90.00
_cell_angle_beta 90.00
_cell_angle_gamma 90.00
loop_
_atom_site_label
_atom_site_fract_x
_atom_site_fract_y
_atom_site_fract_z
_atom_site_occupancy
Cr1 0.000 0.000 0.174 1
W1 0.000 0.000 0.500 1
```

VASP energy = -10.62 eV per atom
M_tot = 0.00 Bohr magnetons per cell
E above lowest polymorph = 0.063 eV/atom
DFT formation energy = 117 meV per atom
Crystal system = orthorhombic

This record from the Alexandria database describes a relaxed structure of GdScSe. The functional is PBE.

Geometry as CIF:
```
data_GdScSe
_space_group_name_H-M_alt 'P 3 m 1'
_space_group_IT_number 156
_cell_length_a 3.7696
_cell_length_b 3.7696
_cell_length_c 6.3171
_cell_angle_alpha 90.00
_cell_angle_beta 90.00
_cell_angle_gamma 120.00
loop_
_space_group_symop_operation_xyz
'x,y,z'
'-y,x-y,z'
'-x+y,-x,z'
'-y,-x,z'
'-x+y,y,z'
'x,x-y,z'
loop_
_atom_site_label
_atom_site_fract_x
_atom_site_fract_y
_atom_site_fract_z
_atom_site_occupancy
Gd1 0.0000 0.0000 0.0000 1
Sc1 0.3333 0.6667 0.5646 1
Se1 0.6667 0.3333 0.3065 1
```

VASP energy = -9.02 eV per atom
M_tot = 8.20 Bohr magnetons per cell
E above lowest polymorph = 0.000 eV/atom
Crystal system = trigonal

This record from the Alexandria database describes a relaxed structure of CdPb2Au2. The functional is PBE.

Geometry as CIF:
```
data_CdPb2Au2
_space_group_name_H-M_alt 'P 4/m b m'
_space_group_IT_number 127
_space_group_name_Hall '-P 4 2ab'
_cell_length_a 7.565
_cell_length_b 7.565
_cell_length_c 4.334
_cell_angle_alpha 90.00
_cell_angle_beta 90.00
_cell_angle_gamma 90.00
loop_
_atom_site_label
_atom_site_fract_x
_atom_site_fract_y
_atom_site_fract_z
_atom_site_occupancy
Cd1 0.000 0.000 0.000 1
Pb1 0.165 0.335 0.500 1
Au1 0.138 0.638 0.000 1
```

VASP energy = -3.05 eV per atom
M_tot = 0.00 Bohr magnetons per cell
E above lowest polymorph = 0.008 eV/atom
DFT formation energy = -75 meV per atom
Crystal system = tetragonal